Record 1
Material: BeW3
Method: DFT, GGA-PBE
State: optimized geometry

Cell: 3.266 4.384 8.051 Å, 90.00 90.00 90.00°
Space group Cmmm (No. 65)
Symmetry-distinct sites (fractional):
Be 0.000 0.000 0.000
W 0.000 0.000 0.500
W 0.000 0.500 0.221

***

Record 2
Material: BeW3
Method: DFT, GGA-PBE
State: optimized geometry

Cell: 2.7616 2.7616 9.0740 Å, 90.00 90.00 120.00°
Space group P-6m2 (No. 187)
Symmetry-distinct sites (fractional):
Be 0.0000 0.0000 0.0000
W 0.0000 0.0000 0.5000
W 0.6667 0.3333 0.2251

***

no.,relative energy among the computed polymorphs (meV/atom),total energy (eV per atom),magnetic moment (Bohr magnetons per cell)
1,0,-10.54,0.0
2,326,-10.21,0.0